# 1
Below is crystalline Cs3Cd2PbBr9 at its relaxed geometry, with properties calculated at the PBE level.

Cell: 8.0998 8.0998 9.9477 Å, 90.00 90.00 120.00°
Space group P-3m1 (No. 164)
Asymmetric unit:
Cs1 0.0000 0.0000 0.0000 x1
Cs2 0.3333 0.6667 0.6722 x2
Cd1 0.3333 0.6667 0.1585 x2
Pb1 0.0000 0.0000 0.5000 x1
Br1 0.0000 0.5000 0.0000 x3
Br2 0.1723 0.3447 0.3237 x6

Summary:
The uncorrected formation energy is -1.255 eV/atom.

# 2
Below is crystalline AlCd2Se at its relaxed geometry, with properties calculated at the PBE level.

Cell: 3.708 6.197 8.448 Å, 90.00 90.00 90.00°
Space group Cmm2 (No. 35)
Asymmetric unit:
Al1 0.000 0.000 0.000 x2
Cd1 0.000 0.000 0.467 x2
Cd2 0.000 0.500 0.741 x2
Se1 0.000 0.500 0.188 x2

Summary:
The energy above the most stable polymorph in this dataset is 0.180 eV per atom. The uncorrected formation energy is -0.027 eV/atom.

# 3
Below is crystalline Li2CaIn at its relaxed geometry, with properties calculated at the PBE level.

Cell: 4.525 4.525 21.123 Å, 90.00 90.00 90.00°
Space group I-42d (No. 122)
Asymmetric unit:
Li1 0.170 0.250 0.125 x8
Ca1 0.000 0.000 0.500 x4
In1 0.000 0.000 0.000 x4

Summary:
For the formation energy, the calculation gives -0.06 eV per atom.

# 4
Below is crystalline Fe2Co2Ni3 at its relaxed geometry, with properties calculated at the PBE level.

Cell: 3.815 16.838 2.451 Å, 90.00 90.00 90.00°
Space group Cmmm (No. 65)
Asymmetric unit:
Fe1 0.000 0.073 0.000 x4
Co1 0.000 0.214 0.000 x4
Ni1 0.000 0.351 0.500 x4
Ni2 0.000 0.500 0.500 x2

Summary:
The energy above the most stable polymorph in this dataset is 0.035 eV per atom. For the formation energy, the calculation gives 0.01 eV per atom.

# 5
Below is crystalline TbTmGeAu at its relaxed geometry, with properties calculated at the PBE level.

Cell: 4.302 4.034 10.880 Å, 90.00 90.00 90.00°
Space group Amm2 (No. 38)
Asymmetric unit:
Tb1 0.000 0.000 0.000 x2
Tm1 0.500 0.000 0.279 x2
Ge1 0.000 0.000 0.727 x2
Au1 0.500 0.000 0.556 x2

Summary:
The energy above the most stable polymorph in this dataset is 0.000 eV per atom. For the formation energy, the calculation gives -0.86 eV per atom.

# 6
Below is crystalline La3Hg2Pd at its relaxed geometry, with properties calculated at the PBE level.

Cell: 5.377 16.241 7.729 Å, 90.00 90.00 90.00°
Space group Cmmm (No. 65)
Asymmetric unit:
La1 0.000 0.000 0.243 x4
La2 0.000 0.326 0.227 x8
Hg1 0.000 0.167 0.500 x4
Hg2 0.000 0.500 0.000 x2
Hg3 0.000 0.500 0.500 x2
Pd1 0.000 0.151 0.000 x4

Summary:
For the formation energy, the calculation gives -0.58 eV per atom.

# 7
Below is crystalline Ge5Sb3Te12 at its relaxed geometry, with properties calculated at the PBE level.

Cell: 17.445 17.445 17.445 Å, 90.00 90.00 90.00°
Space group Ia-3d (No. 230)
Asymmetric unit:
Ge1 0.000 0.000 0.000 x16
Ge2 0.000 0.250 0.375 x24
Sb1 0.000 0.250 0.125 x24
Te1 0.027 0.065 0.652 x96

Summary:
The uncorrected formation energy is 0.076 eV/atom.

# 8
Below is crystalline Tb2Pm3Nd6Ho at its relaxed geometry, with properties calculated at the PBE level.

Cell: 6.317 10.942 12.021 Å, 90.00 100.09 90.00°
Space group C2/m (No. 12)
Asymmetric unit:
Tb1 0.000 0.167 0.000 x4
Pm1 0.000 0.000 0.500 x2
Pm2 0.000 0.333 0.500 x4
Nd1 0.249 0.333 0.247 x8
Nd2 0.250 0.000 0.247 x4
Ho1 0.000 0.500 0.000 x2

Summary:
For the formation energy, the calculation gives 0.01 eV per atom.

Total magnetic moment values (in μB/atom) by entry order: 0.000 0.000 0.000 1.507 0.000 0.000 0.000 0.000.